# ScNF2 | Alexandria | GGA-PBEsol | optimized geometry
# ΔE_f (raw): -1.49 eV per atom
# Fermi-level density of states: 2.672 states/eV/cell
data_ScNF2
_chemical_formula_sum 'Sc3 N3 F6'
_cell_length_a 3.5577
_cell_length_b 3.5577
_cell_length_c 12.7439
_cell_angle_alpha 90.00
_cell_angle_beta 90.00
_cell_angle_gamma 120.00
_space_group_name_H-M_alt 'R -3 m'
_space_group_IT_number 166
_space_group_name_Hall '-R 3 2"'
loop_
_atom_site_label
_atom_site_type_symbol
_atom_site_fract_x
_atom_site_fract_y
_atom_site_fract_z
Sc1 Sc 0.0000 0.0000 0.0000
N1 N 0.0000 0.0000 0.5000
F1 F 0.0000 0.0000 0.2894

# YZrAg2 | Alexandria | GGA-PBEsol | optimized geometry
# Fermi-level density of states: 11.170 states/eV/cell
# ΔE_f: 0.098 eV/atom
data_YZrAg2
_chemical_formula_sum 'Y3 Zr3 Ag6'
_cell_length_a 3.1602
_cell_length_b 3.1602
_cell_length_c 29.2045
_cell_angle_alpha 90.00
_cell_angle_beta 90.00
_cell_angle_gamma 120.00
_space_group_name_H-M_alt 'R -3 m'
_space_group_IT_number 166
_space_group_name_Hall '-R 3 2"'
loop_
_atom_site_label
_atom_site_type_symbol
_atom_site_fract_x
_atom_site_fract_y
_atom_site_fract_z
Y1 Y 0.0000 0.0000 0.0000
Zr1 Zr 0.0000 0.0000 0.5000
Ag1 Ag 0.0000 0.0000 0.2478

# Cu2Te2PbCl2O6 | Alexandria | GGA-PBEsol | optimized geometry
# ΔE_f (raw): -0.89 eV per atom
# Fermi-level density of states: 6.524 states/eV/cell
data_Cu2Te2PbCl2O6
_chemical_formula_sum 'Cu4 Te4 Pb2 Cl4 O12'
_cell_length_a 7.191
_cell_length_b 7.193
_cell_length_c 8.243
_cell_angle_alpha 90.00
_cell_angle_beta 96.58
_cell_angle_gamma 90.00
_space_group_name_H-M_alt 'P 1 21 1'
_space_group_IT_number 4
loop_
_space_group_symop_operation_xyz
'x,y,z'
'-x,y+1/2,-z'
loop_
_atom_site_label
_atom_site_type_symbol
_atom_site_fract_x
_atom_site_fract_y
_atom_site_fract_z
Cu1 Cu 0.141 0.000 0.413
Cu2 Cu 0.176 0.518 0.915
Te1 Te 0.146 0.135 0.738
Te2 Te 0.372 0.870 0.113
Pb1 Pb 0.375 0.510 0.439
Cl1 Cl 0.051 0.238 0.118
Cl2 Cl 0.399 0.752 0.737
O1 O 0.030 0.376 0.748
O2 O 0.039 0.559 0.439
O3 O 0.297 0.166 0.560
O4 O 0.309 0.615 0.112
O5 O 0.361 0.885 0.343
O6 O 0.365 0.327 0.877

# Ca2TlSb2 | Alexandria | GGA-PBEsol | optimized geometry
# ΔE_f (raw): -0.46 eV per atom
# Fermi-level density of states: 3.842 states/eV/cell
data_Ca2TlSb2
_chemical_formula_sum 'Ca4 Tl2 Sb4'
_cell_length_a 5.349
_cell_length_b 5.349
_cell_length_c 11.789
_cell_angle_alpha 90.00
_cell_angle_beta 90.00
_cell_angle_gamma 90.00
_space_group_name_H-M_alt 'I 4/m m m'
_space_group_IT_number 139
_space_group_name_Hall '-I 4 2'
loop_
_atom_site_label
_atom_site_type_symbol
_atom_site_fract_x
_atom_site_fract_y
_atom_site_fract_z
Ca1 Ca 0.000 0.500 0.250
Tl1 Tl 0.000 0.000 0.000
Sb1 Sb 0.000 0.000 0.379

# LiMgZr2 | Alexandria | GGA-PBEsol | optimized geometry
# Fermi-level density of states: 3.708 states/eV/cell
# ΔE_f: 0.045 eV/atom
data_LiMgZr2
_chemical_formula_sum 'Li1 Mg1 Zr2'
_cell_length_a 3.074
_cell_length_b 3.074
_cell_length_c 8.947
_cell_angle_alpha 90.00
_cell_angle_beta 90.00
_cell_angle_gamma 90.00
_space_group_name_H-M_alt 'P 4 m m'
_space_group_IT_number 99
loop_
_space_group_symop_operation_xyz
'x,y,z'
'-y,x,z'
'-x,-y,z'
'y,-x,z'
'-x,y,z'
'y,x,z'
'x,-y,z'
'-y,-x,z'
loop_
_atom_site_label
_atom_site_type_symbol
_atom_site_fract_x
_atom_site_fract_y
_atom_site_fract_z
Li1 Li 0.000 0.000 0.000
Mg1 Mg 0.500 0.500 0.227
Zr1 Zr 0.000 0.000 0.495
Zr2 Zr 0.500 0.500 0.740

# FeRe2Cl | Alexandria | GGA-PBEsol | optimized geometry
# ΔE_f (raw): 0.76 eV per atom
# Fermi-level density of states: 7.045 states/eV/cell
data_FeRe2Cl
_chemical_formula_sum 'Fe2 Re4 Cl2'
_cell_length_a 2.789
_cell_length_b 4.295
_cell_length_c 8.559
_cell_angle_alpha 90.00
_cell_angle_beta 90.00
_cell_angle_gamma 90.00
_space_group_name_H-M_alt 'I m m 2'
_space_group_IT_number 44
loop_
_space_group_symop_operation_xyz
'x,y,z'
'-x,-y,z'
'-x,y,z'
'x,-y,z'
'x+1/2,y+1/2,z+1/2'
'-x+1/2,-y+1/2,z+1/2'
'-x+1/2,y+1/2,z+1/2'
'x+1/2,-y+1/2,z+1/2'
loop_
_atom_site_label
_atom_site_type_symbol
_atom_site_fract_x
_atom_site_fract_y
_atom_site_fract_z
Fe1 Fe 0.000 0.000 0.000
Re1 Re 0.000 0.000 0.545
Re2 Re 0.000 0.500 0.771
Cl1 Cl 0.000 0.500 0.285

# LiCuNi2 | Alexandria | GGA-PBEsol | optimized geometry
# Fermi-level density of states: 5.303 states/eV/cell
# ΔE_f: 0.042 eV/atom
data_LiCuNi2
_chemical_formula_sum 'Li2 Cu2 Ni4'
_cell_length_a 2.556
_cell_length_b 4.092
_cell_length_c 8.288
_cell_angle_alpha 90.00
_cell_angle_beta 90.00
_cell_angle_gamma 90.00
_space_group_name_H-M_alt 'C m m m'
_space_group_IT_number 65
_space_group_name_Hall '-C 2 2'
loop_
_atom_site_label
_atom_site_type_symbol
_atom_site_fract_x
_atom_site_fract_y
_atom_site_fract_z
Li1 Li 0.000 0.000 0.000
Cu1 Cu 0.000 0.000 0.500
Ni1 Ni 0.000 0.500 0.251

# LiTc | Alexandria | GGA-PBEsol | optimized geometry
# Fermi-level density of states: 4.404 states/eV/cell
# ΔE_f: 0.263 eV/atom
data_LiTc
_chemical_formula_sum 'Li4 Tc4'
_cell_length_a 8.739
_cell_length_b 2.449
_cell_length_c 5.230
_cell_angle_alpha 90.00
_cell_angle_beta 91.59
_cell_angle_gamma 90.00
_space_group_name_H-M_alt 'C 1 2/m 1'
_space_group_IT_number 12
loop_
_space_group_symop_operation_xyz
'x,y,z'
'-x,-y,-z'
'-x,y,-z'
'x,-y,z'
'x+1/2,y+1/2,z'
'-x+1/2,-y+1/2,-z'
'-x+1/2,y+1/2,-z'
'x+1/2,-y+1/2,z'
loop_
_atom_site_label
_atom_site_type_symbol
_atom_site_fract_x
_atom_site_fract_y
_atom_site_fract_z
Li1 Li 0.123 0.000 0.391
Tc1 Tc 0.121 0.500 0.903

# ZnMoIr | Alexandria | GGA-PBEsol | optimized geometry
# Fermi-level density of states: 8.147 states/eV/cell
# ΔE_f: 0.103 eV/atom
data_ZnMoIr
_chemical_formula_sum 'Zn4 Mo4 Ir4'
_cell_length_a 2.918
_cell_length_b 4.507
_cell_length_c 13.271
_cell_angle_alpha 90.00
_cell_angle_beta 90.00
_cell_angle_gamma 90.00
_space_group_name_H-M_alt 'F m m 2'
_space_group_IT_number 42
_space_group_name_Hall 'F 2 -2'
loop_
_atom_site_label
_atom_site_type_symbol
_atom_site_fract_x
_atom_site_fract_y
_atom_site_fract_z
Zn1 Zn 0.000 0.000 0.000
Mo1 Mo 0.000 0.000 0.329
Ir1 Ir 0.000 0.000 0.666

# NiPdSe2N | Alexandria | GGA-PBEsol | optimized geometry
# ΔE_f (raw): 0.46 eV per atom
# Fermi-level density of states: 2.872 states/eV/cell
data_NiPdSe2N
_chemical_formula_sum 'Ni1 Pd1 Se2 N1'
_cell_length_a 4.847
_cell_length_b 4.847
_cell_length_c 3.300
_cell_angle_alpha 90.00
_cell_angle_beta 90.00
_cell_angle_gamma 90.00
_space_group_name_H-M_alt 'P 4/m m m'
_space_group_IT_number 123
_space_group_name_Hall '-P 4 2'
loop_
_atom_site_label
_atom_site_type_symbol
_atom_site_fract_x
_atom_site_fract_y
_atom_site_fract_z
Ni1 Ni 0.000 0.000 0.000
Pd1 Pd 0.500 0.500 0.500
Se1 Se 0.000 0.500 0.000
N1 N 0.000 0.000 0.500

# CeZn3P3 | Alexandria | GGA-PBEsol | optimized geometry
# Fermi-level density of states: 10.494 states/eV/cell
# ΔE_f: -0.549 eV/atom
data_CeZn3P3
_chemical_formula_sum 'Ce2 Zn6 P6'
_cell_length_a 3.9842
_cell_length_b 3.9842
_cell_length_c 19.4971
_cell_angle_alpha 90.00
_cell_angle_beta 90.00
_cell_angle_gamma 120.00
_space_group_name_H-M_alt 'P 63/m m c'
_space_group_IT_number 194
_space_group_name_Hall '-P 6c 2c'
loop_
_atom_site_label
_atom_site_type_symbol
_atom_site_fract_x
_atom_site_fract_y
_atom_site_fract_z
Ce1 Ce 0.0000 0.0000 0.0000
Zn1 Zn 0.3333 0.6667 0.1278
Zn2 Zn 0.3333 0.6667 0.7500
P1 P 0.3333 0.6667 0.2500
P2 P 0.3333 0.6667 0.5870

# ScZnMo | Alexandria | GGA-PBEsol | optimized geometry
# Fermi-level density of states: 4.035 states/eV/cell
# ΔE_f: 0.041 eV/atom
data_ScZnMo
_chemical_formula_sum 'Sc2 Zn2 Mo2'
_cell_length_a 2.764
_cell_length_b 2.764
_cell_length_c 12.812
_cell_angle_alpha 90.00
_cell_angle_beta 90.00
_cell_angle_gamma 90.00
_space_group_name_H-M_alt 'I 4 m m'
_space_group_IT_number 107
_space_group_name_Hall 'I 4 -2'
loop_
_atom_site_label
_atom_site_type_symbol
_atom_site_fract_x
_atom_site_fract_y
_atom_site_fract_z
Sc1 Sc 0.000 0.000 0.000
Zn1 Zn 0.000 0.000 0.670
Mo1 Mo 0.000 0.000 0.324